1.
DFT (PBE) results for crystalline Y2OsW at its relaxed geometry.

Cell lengths 3.074, 4.692, 5.731 Å; angles 90.00, 102.50, 90.00 degrees
Fractional positions:
1 Y 0.215 0.000 0.256
2 Y 0.785 0.000 0.744
3 Os 0.000 0.500 0.500
4 W 0.500 0.500 0.000

Computed properties:
The calculation puts the density of states at the Fermi level at 3.8 states/eV/cell. The calculation puts the formation energy from the elements at 0.520 eV/atom. The spin magnetization comes out at 0.000 μB/cell. The excess energy over the best structure of this formula in the dataset comes out at 471 meV per atom.

***

2.
DFT (PBE) results for crystalline LaAl2Cl at its relaxed geometry.

Cell lengths 3.516, 3.516, 8.745 Å; angles 90.00, 90.00, 90.00 degrees
Fractional positions:
1 La 0.000 0.000 0.000
2 Al 0.000 0.000 0.393
3 Al 0.500 0.500 0.258
4 Cl 0.500 0.500 0.807

Computed properties:
The calculation puts the density of states at the Fermi level at 3.9 states/eV/cell. Its uncorrected formation energy is -0.57 eV per atom. The spin magnetization comes out at 0.000 μB/cell. The excess energy over the best structure of this formula in the dataset comes out at 119 meV per atom.

***

3.
DFT (PBE) results for crystalline LiYBe2Nb at its relaxed geometry.

Cell lengths 5.068, 5.068, 4.970 Å; angles 90.00, 90.00, 90.00 degrees
Fractional positions:
1 Li 0.000 0.000 0.000
2 Y 0.500 0.500 0.500
3 Be 0.000 0.500 0.500
4 Be 0.500 0.000 0.500
5 Nb 0.500 0.500 0.000

Computed properties:
The calculation puts the density of states at the Fermi level at 5.8 states/eV/cell. The calculation puts the formation energy from the elements at 1.777 eV/atom. The spin magnetization comes out at 0.000 μB/cell. The excess energy over the best structure of this formula in the dataset comes out at 1069 meV per atom.

***

4.
DFT (PBE) results for crystalline ZnTe2 at its relaxed geometry.

Cell lengths 5.169, 5.169, 3.187 Å; angles 90.00, 90.00, 90.00 degrees
Fractional positions:
1 Zn 0.000 0.000 0.000
2 Te 0.000 0.500 0.500
3 Te 0.500 0.000 0.500

Computed properties:
The calculation puts the density of states at the Fermi level at 1.8 states/eV/cell. Its uncorrected formation energy is 0.21 eV per atom. The spin magnetization comes out at 0.000 μB/cell.

***

5.
DFT (PBE) results for crystalline Pm2Si2HRh2 at its relaxed geometry.

Cell lengths 5.747, 5.747, 7.071 Å; angles 127.20, 127.20, 42.46 degrees
Fractional positions:
1 Pm 0.062 0.062 0.294
2 Pm 0.938 0.938 0.706
3 Si 0.350 0.350 0.299
4 Si 0.650 0.650 0.701
5 H 0.500 0.500 0.000
6 Rh 0.289 0.289 0.894
7 Rh 0.711 0.711 0.106

Computed properties:
The calculation puts the density of states at the Fermi level at 4.4 states/eV/cell. The value obtained for the final energy is -6.36 eV/atom. The spin magnetization comes out at 0.000 μB/cell.

***

6.
DFT (PBE) results for crystalline Fe2Co15Cu2 at its relaxed geometry.

Cell lengths 6.142, 6.142, 6.142 Å; angles 82.70, 82.70, 82.70 degrees
Fractional positions:
1 Fe 0.138 0.138 0.138
2 Fe 0.862 0.862 0.862
3 Co 0.000 0.500 0.500
4 Co 0.141 0.141 0.658
5 Co 0.141 0.658 0.141
6 Co 0.204 0.500 0.796
7 Co 0.204 0.796 0.500
8 Co 0.342 0.859 0.859
9 Co 0.500 0.000 0.500
10 Co 0.500 0.204 0.796
11 Co 0.500 0.500 0.000
12 Co 0.500 0.796 0.204
13 Co 0.658 0.141 0.141
14 Co 0.796 0.204 0.500
15 Co 0.796 0.500 0.204
16 Co 0.859 0.342 0.859
17 Co 0.859 0.859 0.342
18 Cu 0.394 0.394 0.394
19 Cu 0.606 0.606 0.606

Computed properties:
The calculation puts the density of states at the Fermi level at 18.2 states/eV/cell. The calculation puts the formation energy from the elements at 0.227 eV/atom. The spin magnetization comes out at 30.564 μB/cell.

***

Q: Number 1 is which compound?
A: Y2OsW

***

Q: Which formula does entry 3 have?
A: LiYBe2Nb